Record 1
{"formula": "Ge2TeMo", "functional": "PBE", "state": "relaxed", "dos_ef_per_ev_fu": 4.9, "formation_energy_uncorrected_kcal_per_mol_atoms": 15.39, "density_g_cm3": 5.429, "sg": "No. 122", "cell": [[-3.061, 3.061, 6.018], [3.061, -3.061, 6.018], [3.061, 3.061, -6.018]], "species": ["Ge", "Ge", "Ge", "Ge", "Te", "Te", "Mo", "Mo"], "fractional_positions": [[0.074, 0.625, 0.949], [0.375, 0.324, 0.449], [0.676, 0.125, 0.051], [0.875, 0.926, 0.551], [0.250, 0.750, 0.500], [0.500, 0.500, 0.000], [0.000, 0.000, 0.000], [0.750, 0.250, 0.500]]}

---

Record 2
{"formula": "GeTeMo3", "functional": "PBE", "state": "relaxed", "dos_ef_per_ev_fu": 8.9, "formation_energy_uncorrected_kcal_per_mol_atoms": 44.69, "density_g_cm3": 6.871, "sg": "No. 221", "de_polymorph_ev_per_atom": 0.624, "cell": [[4.904, 0.000, 0.000], [0.000, 4.904, 0.000], [0.000, 0.000, 4.904]], "species": ["Ge", "Te", "Mo", "Mo", "Mo"], "fractional_positions": [[0.000, 0.000, 0.000], [0.500, 0.500, 0.500], [0.000, 0.500, 0.500], [0.500, 0.000, 0.500], [0.500, 0.500, 0.000]]}

---

Record 3
{"formula": "GeTe3Mo", "functional": "PBE", "state": "relaxed", "dos_ef_per_ev_fu": 4.9, "formation_energy_uncorrected_kcal_per_mol_atoms": 24.79, "density_g_cm3": 5.965, "sg": "No. 221", "de_polymorph_ev_per_atom": 0.458, "cell": [[5.354, 0.000, 0.000], [0.000, 5.354, 0.000], [0.000, 0.000, 5.354]], "species": ["Ge", "Te", "Te", "Te", "Mo"], "fractional_positions": [[0.000, 0.000, 0.000], [0.000, 0.000, 0.500], [0.000, 0.500, 0.000], [0.500, 0.000, 0.000], [0.500, 0.500, 0.500]]}

---

Record 4
{"formula": "GeTe2Mo", "functional": "PBE", "state": "relaxed", "dos_ef_per_ev_fu": 2.3, "formation_energy_uncorrected_kcal_per_mol_atoms": 4.47, "density_g_cm3": 7.040, "sg": "No. 166", "cell": [[1.718, 0.992, 9.779], [-1.718, 0.992, 9.779], [0.000, -1.984, 9.779]], "species": ["Ge", "Te", "Te", "Mo"], "fractional_positions": [[0.000, 0.000, 0.000], [0.102, 0.102, 0.102], [0.898, 0.898, 0.898], [0.500, 0.500, 0.500]]}

---

Record 5
{"formula": "GeTeMo3", "functional": "PBE", "state": "relaxed", "dos_ef_per_ev_fu": 7.5, "formation_energy_uncorrected_kcal_per_mol_atoms": 30.30, "density_g_cm3": 7.861, "sg": "No. 221", "de_polymorph_ev_per_atom": 0.000, "cell": [[4.689, 0.000, 0.000], [0.000, 4.689, 0.000], [0.000, 0.000, 4.689]], "species": ["Ge", "Te", "Mo", "Mo", "Mo"], "fractional_positions": [[0.000, 0.000, 0.000], [0.500, 0.500, 0.500], [0.000, 0.000, 0.500], [0.000, 0.500, 0.000], [0.500, 0.000, 0.000]]}

---

Record 6
{"formula": "GeTe2Mo", "functional": "PBE", "state": "relaxed", "dos_ef_per_ev_fu": 1.5, "formation_energy_uncorrected_kcal_per_mol_atoms": 12.13, "density_g_cm3": 5.588, "sg": "No. 122", "cell": [[-3.227, 3.227, 6.048], [3.227, -3.227, 6.048], [3.227, 3.227, -6.048]], "species": ["Ge", "Ge", "Te", "Te", "Te", "Te", "Mo", "Mo"], "fractional_positions": [[0.000, 0.000, 0.000], [0.750, 0.250, 0.500], [0.156, 0.625, 0.031], [0.375, 0.406, 0.531], [0.594, 0.125, 0.969], [0.875, 0.844, 0.469], [0.250, 0.750, 0.500], [0.500, 0.500, 0.000]]}